1.
This record from Alexandria describes a geometry-optimized PmSmPb2 structure. The functional is GGA-PBE.

Output
**E**: -4.77 eV/atom
**Calculated volume**: 124 Å³/cell

The structure in CIF format:
```
data_PmSmPb2
_chemical_formula_sum 'Pm1 Sm1 Pb2'
_cell_length_a 4.624
_cell_length_b 4.511
_cell_length_c 6.381
_cell_angle_alpha 90.00
_cell_angle_beta 111.19
_cell_angle_gamma 90.00
_symmetry_space_group_name_H-M 'P 1 m 1'
_symmetry_Int_Tables_number 6
_symmetry_space_group_name_Hall 'P -2y'
loop_
_atom_site_label
_atom_site_type_symbol
_atom_site_fract_x
_atom_site_fract_y
_atom_site_fract_z
Pm1 Pm 0.000 0.000 0.000
Sm1 Sm 0.262 0.500 0.527
Pb1 Pb 0.534 0.500 0.068
Pb2 Pb 0.728 0.000 0.459
```

2.
This record from Alexandria describes a geometry-optimized Pm2Sm3Pb structure. The functional is GGA-PBE.

Output
**E**: -4.75 eV/atom
**Calculated volume**: 384 Å³/cell

The structure in CIF format:
```
data_Pm2Sm3Pb
_chemical_formula_sum 'Pm4 Sm6 Pb2'
_cell_length_a 4.947
_cell_length_b 15.554
_cell_length_c 4.989
_cell_angle_alpha 90.00
_cell_angle_beta 90.00
_cell_angle_gamma 90.00
_symmetry_space_group_name_H-M 'C m m m'
_symmetry_Int_Tables_number 65
_symmetry_space_group_name_Hall '-C 2 2'
loop_
_atom_site_label
_atom_site_type_symbol
_atom_site_fract_x
_atom_site_fract_y
_atom_site_fract_z
Pm1 Pm 0.000 0.162 0.000
Sm1 Sm 0.000 0.000 0.500
Sm2 Sm 0.000 0.335 0.500
Pb1 Pb 0.000 0.500 0.000
```

3.
This record from Alexandria describes a geometry-optimized Pm2Sm2Pb3 structure. The functional is GGA-PBE.

Output
**E**: -4.68 eV/atom
**Calculated volume**: 461 Å³/cell

The structure in CIF format:
```
data_Pm2Sm2Pb3
_chemical_formula_sum 'Pm4 Sm4 Pb6'
_cell_length_a 9.425
_cell_length_b 5.414
_cell_length_c 9.575
_cell_angle_alpha 90.00
_cell_angle_beta 109.34
_cell_angle_gamma 90.00
_symmetry_space_group_name_H-M 'C 1 2/m 1'
_symmetry_Int_Tables_number 12
_symmetry_space_group_name_Hall '-C 2y'
loop_
_atom_site_label
_atom_site_type_symbol
_atom_site_fract_x
_atom_site_fract_y
_atom_site_fract_z
Pm1 Pm 0.120 0.000 0.364
Sm1 Sm 0.127 0.500 0.880
Pb1 Pb 0.000 0.000 0.000
Pb2 Pb 0.241 0.000 0.721
```

4.
This record from Alexandria describes a geometry-optimized Pm5Sm2Pb4 structure. The functional is GGA-PBE.

Output
**E**: -4.43 eV/atom
**Calculated volume**: 720 Å³/cell

The structure in CIF format:
```
data_Pm5Sm2Pb4
_chemical_formula_sum 'Pm10 Sm4 Pb8'
_cell_length_a 23.731
_cell_length_b 3.590
_cell_length_c 8.461
_cell_angle_alpha 90.00
_cell_angle_beta 92.68
_cell_angle_gamma 90.00
_symmetry_space_group_name_H-M 'C 1 2/m 1'
_symmetry_Int_Tables_number 12
_symmetry_space_group_name_Hall '-C 2y'
loop_
_atom_site_label
_atom_site_type_symbol
_atom_site_fract_x
_atom_site_fract_y
_atom_site_fract_z
Pm1 Pm 0.000 0.000 0.000
Pm2 Pm 0.127 0.500 0.056
Pm3 Pm 0.178 0.500 0.486
Sm1 Sm 0.230 0.000 0.827
Pb1 Pb 0.040 0.500 0.351
Pb2 Pb 0.091 0.000 0.718
```

5.
This record from Alexandria describes a geometry-optimized Pm4Sm3Pb4 structure. The functional is GGA-PBE.

Output
**E**: -4.77 eV/atom
**Calculated volume**: 699 Å³/cell

The structure in CIF format:
```
data_Pm4Sm3Pb4
_chemical_formula_sum 'Pm8 Sm6 Pb8'
_cell_length_a 3.654
_cell_length_b 9.857
_cell_length_c 19.398
_cell_angle_alpha 90.00
_cell_angle_beta 90.00
_cell_angle_gamma 90.00
_symmetry_space_group_name_H-M 'I m m m'
_symmetry_Int_Tables_number 71
_symmetry_space_group_name_Hall '-I 2 2'
loop_
_atom_site_label
_atom_site_type_symbol
_atom_site_fract_x
_atom_site_fract_y
_atom_site_fract_z
Pm1 Pm 0.000 0.178 0.163
Sm1 Sm 0.000 0.000 0.409
Sm2 Sm 0.000 0.500 0.500
Pb1 Pb 0.000 0.278 0.000
Pb2 Pb 0.000 0.500 0.227
```

6.
This record from Alexandria describes a geometry-optimized PmSmPb structure. The functional is GGA-PBE.

Output
**E**: -4.61 eV/atom
**Calculated volume**: 96 Å³/cell
**Distance to the lowest polymorph of the same formula**: 215.8 meV/atom

The structure in CIF format:
```
data_PmSmPb
_chemical_formula_sum 'Pm1 Sm1 Pb1'
_cell_length_a 5.3292
_cell_length_b 5.3292
_cell_length_c 3.8868
_cell_angle_alpha 90.00
_cell_angle_beta 90.00
_cell_angle_gamma 120.00
_symmetry_space_group_name_H-M 'P 3 m 1'
_symmetry_Int_Tables_number 156
_symmetry_space_group_name_Hall 'P 3 -2"'
loop_
_atom_site_label
_atom_site_type_symbol
_atom_site_fract_x
_atom_site_fract_y
_atom_site_fract_z
Pm1 Pm 0.0000 0.0000 0.0000
Sm1 Sm 0.6667 0.3333 0.4473
Pb1 Pb 0.3333 0.6667 0.7094
```

7.
This record from Alexandria describes a geometry-optimized PmSm4Pb2 structure. The functional is GGA-PBE.

Output
**E**: -4.08 eV/atom
**Calculated volume**: 502 Å³/cell

The structure in CIF format:
```
data_PmSm4Pb2
_chemical_formula_sum 'Pm2 Sm8 Pb4'
_cell_length_a 5.501
_cell_length_b 5.501
_cell_length_c 16.584
_cell_angle_alpha 90.00
_cell_angle_beta 90.00
_cell_angle_gamma 90.00
_symmetry_space_group_name_H-M 'I 4/m m m'
_symmetry_Int_Tables_number 139
_symmetry_space_group_name_Hall '-I 4 2'
loop_
_atom_site_label
_atom_site_type_symbol
_atom_site_fract_x
_atom_site_fract_y
_atom_site_fract_z
Pm1 Pm 0.000 0.000 0.000
Sm1 Sm 0.000 0.000 0.182
Sm2 Sm 0.000 0.500 0.000
Pb1 Pb 0.000 0.000 0.369
```

8.
This record from Alexandria describes a geometry-optimized Pm2Sm2Pb structure. The functional is GGA-PBE.

Output
**E**: -4.34 eV/atom
**Calculated volume**: 347 Å³/cell

The structure in CIF format:
```
data_Pm2Sm2Pb
_chemical_formula_sum 'Pm4 Sm4 Pb2'
_cell_length_a 4.457
_cell_length_b 4.457
_cell_length_c 17.469
_cell_angle_alpha 90.00
_cell_angle_beta 90.00
_cell_angle_gamma 90.00
_symmetry_space_group_name_H-M 'I 4/m m m'
_symmetry_Int_Tables_number 139
_symmetry_space_group_name_Hall '-I 4 2'
loop_
_atom_site_label
_atom_site_type_symbol
_atom_site_fract_x
_atom_site_fract_y
_atom_site_fract_z
Pm1 Pm 0.000 0.000 0.086
Sm1 Sm 0.000 0.500 0.250
Pb1 Pb 0.000 0.000 0.500
```

9.
This record from Alexandria describes a geometry-optimized Pm2Sm3Pb4 structure. The functional is GGA-PBE.

Output
**E**: -4.71 eV/atom
**Calculated volume**: 591 Å³/cell
**Distance to the lowest polymorph of the same formula**: 49.8 meV/atom

The structure in CIF format:
```
data_Pm2Sm3Pb4
_chemical_formula_sum 'Pm4 Sm6 Pb8'
_cell_length_a 11.682
_cell_length_b 4.953
_cell_length_c 10.286
_cell_angle_alpha 90.00
_cell_angle_beta 96.76
_cell_angle_gamma 90.00
_symmetry_space_group_name_H-M 'C 1 2/m 1'
_symmetry_Int_Tables_number 12
_symmetry_space_group_name_Hall '-C 2y'
loop_
_atom_site_label
_atom_site_type_symbol
_atom_site_fract_x
_atom_site_fract_y
_atom_site_fract_z
Pm1 Pm 0.178 0.000 0.316
Sm1 Sm 0.000 0.500 0.500
Sm2 Sm 0.127 0.000 0.922
Pb1 Pb 0.090 0.500 0.132
Pb2 Pb 0.142 0.000 0.620
```

10.
This record from Alexandria describes a geometry-optimized PmSm3Pb5 structure. The functional is GGA-PBE.

Output
**E**: -4.61 eV/atom
**Calculated volume**: 540 Å³/cell

The structure in CIF format:
```
data_PmSm3Pb5
_chemical_formula_sum 'Pm2 Sm6 Pb10'
_cell_length_a 9.7283
_cell_length_b 9.7283
_cell_length_c 6.5846
_cell_angle_alpha 90.00
_cell_angle_beta 90.00
_cell_angle_gamma 120.00
_symmetry_space_group_name_H-M 'P 63/m c m'
_symmetry_Int_Tables_number 193
_symmetry_space_group_name_Hall '-P 6c 2'
loop_
_atom_site_label
_atom_site_type_symbol
_atom_site_fract_x
_atom_site_fract_y
_atom_site_fract_z
Pm1 Pm 0.0000 0.0000 0.0000
Sm1 Sm 0.0000 0.3789 0.2500
Pb1 Pb 0.0000 0.2916 0.7500
Pb2 Pb 0.3333 0.6667 0.0000
```

11.
This record from Alexandria describes a geometry-optimized PmSm3Pb structure. The functional is GGA-PBE.

Output
**E**: -4.68 eV/atom
**Calculated volume**: 663 Å³/cell

The structure in CIF format:
```
data_PmSm3Pb
_chemical_formula_sum 'Pm4 Sm12 Pb4'
_cell_length_a 9.138
_cell_length_b 8.788
_cell_length_c 9.714
_cell_angle_alpha 90.00
_cell_angle_beta 121.85
_cell_angle_gamma 90.00
_symmetry_space_group_name_H-M 'P 1 21/c 1'
_symmetry_Int_Tables_number 14
_symmetry_space_group_name_Hall '-P 2ybc'
loop_
_atom_site_label
_atom_site_type_symbol
_atom_site_fract_x
_atom_site_fract_y
_atom_site_fract_z
Pm1 Pm 0.213 0.063 0.289
Sm1 Sm 0.085 0.695 0.043
Sm2 Sm 0.218 0.064 0.930
Sm3 Sm 0.416 0.084 0.707
Pb1 Pb 0.404 0.750 0.453
```

12.
This record from Alexandria describes a geometry-optimized PmSm4Pb5 structure. The functional is GGA-PBE.

Output
**E**: -4.62 eV/atom
**Calculated volume**: 659 Å³/cell

The structure in CIF format:
```
data_PmSm4Pb5
_chemical_formula_sum 'Pm2 Sm8 Pb10'
_cell_length_a 10.144
_cell_length_b 10.144
_cell_length_c 6.407
_cell_angle_alpha 90.00
_cell_angle_beta 90.00
_cell_angle_gamma 90.00
_symmetry_space_group_name_H-M 'I 4/m'
_symmetry_Int_Tables_number 87
_symmetry_space_group_name_Hall '-I 4'
loop_
_atom_site_label
_atom_site_type_symbol
_atom_site_fract_x
_atom_site_fract_y
_atom_site_fract_z
Pm1 Pm 0.000 0.000 0.000
Sm1 Sm 0.101 0.700 0.500
Pb1 Pb 0.000 0.000 0.500
Pb2 Pb 0.100 0.699 0.000
```

| no. | E_form (eV/f.u.) | theoretical density (g/cm3) |
| --- | --- | --- |
| 1 | -2.21 | 9.498 |
| 2 | -1.13 | 8.204 |
| 3 | -2.72 | 8.733 |
| 4 | -0.76 | 8.554 |
| 5 | -4.43 | 8.840 |
| 6 | -0.67 | 8.730 |
| 7 | 2.49 | 7.681 |
| 8 | 0.97 | 7.636 |
| 9 | -3.86 | 8.822 |
| 10 | -4.07 | 10.044 |
| 11 | -0.81 | 8.052 |
| 12 | -3.99 | 8.979 |